# 1
Entry from Alexandria via LeMat-Bulk: a relaxed PuBe4Ir crystal (PBE).

Unit cell a=4.699 b=4.699 c=4.699 alpha=60.00 beta=60.00 gamma=60.00
Each line ends with the local moment (μB).
Element x y z (fractional)
Be (0.627, 0.118, 0.627)  0.02
Be (0.627, 0.627, 0.118)  0.02
Pu (0.250, 0.250, 0.250)  4.95
Be (0.118, 0.627, 0.627)  0.02
Be (0.627, 0.627, 0.627)  0.02
Ir (0.000, 0.000, 0.000)  -0.19

E_form = -11.5 kJ/mol of atoms


# 2
Entry from Alexandria via LeMat-Bulk: a relaxed Pu4Be6Ir7 crystal (PBE).

Unit cell a=6.963 b=6.963 c=6.963 alpha=109.47 beta=109.47 gamma=109.47
Each line ends with the local moment (μB).
Element x y z (fractional)
Pu (0.000, 0.000, 0.500)  4.67
Ir (0.500, 0.250, 0.750)  -0.28
Pu (0.000, 0.500, 0.000)  4.67
Pu (0.500, 0.000, 0.000)  4.67
Be (0.315, 0.000, 0.315)  0.01
Be (0.000, 0.315, 0.315)  0.01
Be (0.685, 0.685, 0.000)  0.01
Ir (0.250, 0.750, 0.500)  -0.28
Be (0.000, 0.685, 0.685)  0.01
Ir (0.500, 0.750, 0.250)  -0.28
Be (0.315, 0.315, 0.000)  0.01
Ir (0.750, 0.500, 0.250)  -0.28
Pu (0.500, 0.500, 0.500)  4.67
Ir (0.000, 0.000, 0.000)  -0.13
Ir (0.250, 0.500, 0.750)  -0.28
Be (0.685, 0.000, 0.685)  0.01
Ir (0.750, 0.250, 0.500)  -0.28

E_form = -34.9 kJ/mol of atoms


# 3
Entry from Alexandria via LeMat-Bulk: a relaxed PuBeIr crystal (PBE).

Unit cell a=4.142 b=5.381 c=5.305 alpha=81.10 beta=67.02 gamma=67.36
Each line ends with the local moment (μB).
Element x y z (fractional)
Pu (0.066, 0.185, 0.683)  5.04
Be (0.660, 0.404, 0.276)  0.00
Be (0.340, 0.596, 0.724)  0.00
Ir (0.315, 0.278, 0.091)  -0.20
Pu (0.934, 0.815, 0.317)  5.04
Ir (0.685, 0.722, 0.909)  -0.20

E_form = -33.4 kJ/mol of atoms
energy relative to the lowest polymorph listed for this composition = 0.0495 eV/atom


# 4
Entry from Alexandria via LeMat-Bulk: a relaxed PuBeIr crystal (PBE).

Unit cell a=4.967 b=5.118 c=5.118 alpha=65.01 beta=60.97 gamma=60.97
Each line ends with the local moment (μB).
Element x y z (fractional)
Pu (0.131, 0.619, 0.619)  5.04
Be (0.500, 0.000, 0.000)  -0.01
Ir (0.500, 0.000, 0.500)  -0.09
Be (0.000, 0.000, 0.000)  -0.01
Ir (0.500, 0.500, 0.000)  -0.09
Pu (0.869, 0.381, 0.381)  5.04

E_form = -37.4 kJ/mol of atoms
energy relative to the lowest polymorph listed for this composition = 0.0074 eV/atom


# 5
Entry from Alexandria via LeMat-Bulk: a relaxed PuBeIr crystal (PBE).

Unit cell a=3.905 b=3.956 c=3.956 alpha=120.00 beta=90.00 gamma=90.00
Each line ends with the local moment (μB).
Element x y z (fractional)
Be (0.166, 0.667, 0.333)  0.03
Ir (0.167, 0.000, 0.000)  -0.17
Pu (0.667, 0.333, 0.667)  5.03

E_form = -38.1 kJ/mol of atoms
energy relative to the lowest polymorph listed for this composition = 0.0000 eV/atom


# 6
Entry from Alexandria via LeMat-Bulk: a relaxed Pu2BeIr2 crystal (PBE).

Unit cell a=5.600 b=5.600 c=6.015 alpha=81.72 beta=81.72 gamma=59.54
Element x y z (fractional)
Pu (0.502, 0.675, 0.861)
Ir (0.213, 0.116, 0.480)
Ir (0.116, 0.213, 0.980)
Ir (0.787, 0.884, 0.520)
Pu (0.325, 0.498, 0.639)
Ir (0.884, 0.787, 0.020)
Be (0.883, 0.117, 0.750)
Be (0.117, 0.883, 0.250)
Pu (0.498, 0.325, 0.139)
Pu (0.675, 0.502, 0.361)

E_form = -11.6 kJ/mol of atoms


# 7
Entry from Alexandria via LeMat-Bulk: a relaxed Pu2Be4Si3Ir crystal (PBE).

Unit cell a=3.852 b=3.852 c=9.694 alpha=90.00 beta=90.00 gamma=90.00
Each line ends with the local moment (μB).
Element x y z (fractional)
Be (0.000, 0.000, 0.000)  0.00
Be (0.000, 0.500, 0.367)  0.01
Si (0.500, 0.000, 0.869)  -0.06
Be (0.500, 0.000, 0.633)  0.01
Si (0.000, 0.000, 0.500)  -0.05
Pu (0.500, 0.000, 0.247)  5.07
Pu (0.000, 0.500, 0.753)  5.07
Si (0.000, 0.500, 0.131)  -0.06
Ir (0.500, 0.500, 0.500)  -0.08
Be (0.500, 0.500, 0.000)  0.00


# 8
Entry from Alexandria via LeMat-Bulk: a relaxed Pu2BeSi6Ir crystal (PBE).

Unit cell a=6.185 b=6.794 c=8.175 alpha=90.00 beta=90.00 gamma=90.00
Each line ends with the local moment (μB).
Element x y z (fractional)
Pu (0.500, 0.779, 0.251)  5.12
Si (0.690, 0.075, 0.000)  -0.04
Si (0.000, 0.759, 0.240)  -0.04
Pu (0.500, 0.779, 0.749)  5.12
Pu (0.000, 0.221, 0.249)  5.12
Be (0.000, 0.918, 0.000)  0.00
Si (0.190, 0.599, 0.000)  -0.03
Si (0.500, 0.241, 0.740)  -0.04
Ir (0.000, 0.596, 0.500)  0.00
Si (0.000, 0.759, 0.760)  -0.04
Si (0.310, 0.401, 0.500)  -0.03
Be (0.500, 0.082, 0.500)  0.00
Si (0.500, 0.241, 0.260)  -0.04
Si (0.690, 0.401, 0.500)  -0.03
Ir (0.500, 0.404, 0.000)  0.00
Si (0.810, 0.599, 0.000)  -0.03
Si (0.190, 0.925, 0.500)  -0.04
Pu (0.000, 0.221, 0.751)  5.12
Si (0.810, 0.925, 0.500)  -0.04
Si (0.310, 0.075, 0.000)  -0.04


The evaluated uncorrected energy for the records listed, in turn: -38.8, -147.9, -28.0, -28.1, -28.1, -50.7, -72.7, -76.6 eV/f.u..